*w*
VASP calculation (PBE) on an optimized crystal structure of SbAsPt.

## Properties
total magnetic moment = 0.000 Bohr magnetons per cell

a = 6.397 Å, b = 6.397 Å, c = 6.397 Å
α = 152.64°, β = 148.14°, γ = 42.48°
Atoms (fractional coordinates):
Sb 0.000 0.000 0.000
As 0.731 0.731 0.000
Pt 0.347 0.347 0.000

*x*
VASP calculation (PBE) on an optimized crystal structure of SbAsPt.

## Properties
total magnetic moment = 0.000 Bohr magnetons per cell

a = 3.805 Å, b = 3.805 Å, c = 5.141 Å
α = 90.00°, β = 90.00°, γ = 120.00°
Atoms (fractional coordinates):
Sb 0.000 0.000 0.000
As 0.667 0.333 0.436
Pt 0.333 0.667 0.689

*x* is favored, and the nearest alternative lies 210 meV/atom above it.

*w*
VASP calculation (PBE) on an optimized crystal structure of SbAsPt.

## Properties
total magnetic moment = 0.000 Bohr magnetons per cell

a = 4.528 Å, b = 4.528 Å, c = 4.528 Å
α = 60.00°, β = 60.00°, γ = 60.00°
Atoms (fractional coordinates):
Sb 0.000 0.000 0.000
As 0.500 0.500 0.500
Pt 0.750 0.750 0.750

*x*
VASP calculation (PBE) on an optimized crystal structure of SbAsPt.

## Properties
total magnetic moment = 0.000 Bohr magnetons per cell

a = 6.506 Å, b = 6.314 Å, c = 6.510 Å
α = 90.00°, β = 103.09°, γ = 90.00°
Atoms (fractional coordinates):
Sb 0.149 0.123 0.351
Sb 0.149 0.377 0.851
Sb 0.851 0.623 0.149
Sb 0.851 0.877 0.649
As 0.360 0.628 0.640
As 0.360 0.872 0.140
As 0.640 0.128 0.860
As 0.640 0.372 0.360
Pt 0.261 0.510 0.254
Pt 0.261 0.990 0.754
Pt 0.739 0.010 0.246
Pt 0.739 0.490 0.746

*x* is favored, and the nearest alternative lies 201 meV/atom above it.

*w*
VASP calculation (PBE) on an optimized crystal structure of Sc2AsPt.

## Properties
total magnetic moment = 0.000 Bohr magnetons per cell

a = 3.882 Å, b = 3.882 Å, c = 5.484 Å
α = 90.00°, β = 90.00°, γ = 90.00°
Atoms (fractional coordinates):
Sc 0.000 0.000 0.000
Sc 0.500 0.500 0.498
As 0.500 0.500 0.998
Pt 0.000 0.000 0.499

*x*
VASP calculation (PBE) on an optimized crystal structure of Sc2AsPt.

## Properties
total magnetic moment = 0.000 Bohr magnetons per cell

a = 8.822 Å, b = 8.822 Å, c = 8.822 Å
α = 23.72°, β = 23.72°, γ = 23.72°
Atoms (fractional coordinates):
Sc 0.103 0.103 0.103
Sc 0.897 0.897 0.897
As 0.000 0.000 0.000
Pt 0.500 0.500 0.500

*w* is favored, and the nearest alternative lies 595 meV/atom above it.

*w*
VASP calculation (PBE) on an optimized crystal structure of Sc2AsPt.

## Properties
total magnetic moment = 0.000 Bohr magnetons per cell

a = 3.295 Å, b = 3.436 Å, c = 6.634 Å
α = 90.00°, β = 95.04°, γ = 90.00°
Atoms (fractional coordinates):
Sc 0.039 0.000 0.250
Sc 0.961 0.000 0.750
As 0.500 0.500 0.500
Pt 0.500 0.500 0.000

*x*
VASP calculation (PBE) on an optimized crystal structure of Sc2AsPt.

## Properties
total magnetic moment = 1.267 Bohr magnetons per cell

a = 4.703 Å, b = 4.703 Å, c = 4.703 Å
α = 60.00°, β = 60.00°, γ = 60.00°
Atoms (fractional coordinates):
Sc 0.000 0.000 0.000
Sc 0.250 0.250 0.250
As 0.500 0.500 0.500
Pt 0.750 0.750 0.750

*y*
VASP calculation (PBE) on an optimized crystal structure of Sc2AsPt.

## Properties
total magnetic moment = 0.000 Bohr magnetons per cell

a = 7.662 Å, b = 7.662 Å, c = 7.662 Å
α = 135.12°, β = 135.12°, γ = 65.34°
Atoms (fractional coordinates):
Sc 0.123 0.625 0.998
Sc 0.375 0.373 0.498
Sc 0.627 0.125 0.002
Sc 0.875 0.877 0.502
As 0.250 0.750 0.500
As 0.500 0.500 0.000
Pt 0.000 0.000 0.000
Pt 0.750 0.250 0.500

*w* is favored, and the nearest alternative lies 473 meV/atom above it.